(1)
Below is a relaxed structure of LiNd2SmSe5, with properties calculated at the GGA-PBE level.

Cell: 4.1702 8.9510 12.5448 Å, 90.00 90.00 103.47°
Atoms (fractional coordinates):
Li: 0.5127 0.0254 0.9829
Li: 0.4873 0.9746 0.4829
Nd: 0.8767 0.7535 0.7968
Nd: 0.1087 0.2174 0.6848
Nd: 0.1233 0.2465 0.2968
Nd: 0.8913 0.7826 0.1848
Sm: 0.8041 0.6082 0.5009
Sm: 0.1959 0.3918 0.0009
Se: 0.3631 0.7262 0.9981
Se: 0.6922 0.3844 0.8384
Se: 0.5016 0.0032 0.7854
Se: 0.2877 0.5754 0.6629
Se: 0.9554 0.9108 0.5737
Se: 0.6369 0.2738 0.4981
Se: 0.3078 0.6156 0.3384
Se: 0.4984 0.9968 0.2854
Se: 0.7123 0.4246 0.1629
Se: 0.0446 0.0892 0.0737

Properties
Total magnetization = 0.00 μB/f.u.
E = -5.47 eV per atom

---

(2)
Below is a relaxed structure of Cs2SmScTe4, with properties calculated at the GGA-PBE level.

Cell: 4.5032 7.8103 9.2618 Å, 106.25 90.00 90.00°
Atoms (fractional coordinates):
Cs: 0.5000 0.0000 0.5000
Cs: 0.0000 0.5000 0.5000
Sm: 0.5000 0.5000 0.0000
Sc: 0.0000 0.0000 0.0000
Te: 0.5000 0.2136 0.1831
Te: 0.5000 0.7864 0.8169
Te: 0.0000 0.2556 0.8102
Te: 0.0000 0.7444 0.1898

Properties
Total magnetization = 0.00 μB/f.u.
E = -4.47 eV per atom

---

(3)
Below is a relaxed structure of Sm2GaHg2, with properties calculated at the GGA-PBE level.

Cell: 4.4858 6.0771 10.3752 Å, 88.82 77.52 68.34°
Atoms (fractional coordinates):
Sm: 0.6721 0.3198 0.3359
Sm: 0.9222 0.2637 0.8919
Sm: 0.3279 0.6802 0.6641
Sm: 0.0778 0.7363 0.1081
Ga: 0.6087 0.1060 0.6766
Ga: 0.3913 0.8940 0.3234
Hg: 0.0952 0.2537 0.5559
Hg: 0.6520 0.8103 0.8856
Hg: 0.9048 0.7463 0.4441
Hg: 0.3480 0.1897 0.1144

Properties
Energy relative to the lowest polymorph listed for this composition = 0.000 eV/atom
Total magnetization = 0.00 μB/f.u.
DOS(E_F) = 7.9 states/eV/cell
Energy of formation from the pure elements = -0.47 eV/atom
E = -3.09 eV per atom

---

(4)
Below is a relaxed structure of CeTh2Ge2, with properties calculated at the GGA-PBE level.

Cell: 5.9852 7.2387 9.3384 Å, 58.85 71.31 65.58°
Site moments in Bohr magnetons follow the coordinates.
Atoms (fractional coordinates):
Ce: 0.3292 0.2625 0.0790  0.77
Ce: 0.6708 0.7375 0.9210  0.77
Th: 0.6670 0.2528 0.4132  0.01
Th: 0.3330 0.7472 0.5868  0.01
Th: 0.9984 0.7578 0.2454  0.01
Th: 0.0016 0.2422 0.7546  0.01
Ge: 0.1646 0.2574 0.4134  0.00
Ge: 0.8354 0.7426 0.5866  0.00
Ge: 0.5044 0.2343 0.7570  -0.01
Ge: 0.4956 0.7657 0.2430  -0.01

Properties
Energy relative to the lowest polymorph listed for this composition = 0.261 eV/atom
Total magnetization = 1.04 μB/f.u.
DOS(E_F) = 20.5 states/eV/cell
Energy of formation from the pure elements = -0.41 eV/atom
E = -6.41 eV per atom

---

(5)
Below is a relaxed structure of Ba2Cd12Au7, with properties calculated at the GGA-PBE level.

Cell: 4.5431 11.2859 11.2859 Å, 120.00 90.00 90.00°
Atoms (fractional coordinates):
Ba: 0.5000 0.0000 0.0000
Ba: 0.0000 0.6667 0.3333
Cd: 0.5000 0.9239 0.6238
Cd: 0.5000 0.6999 0.0761
Cd: 0.5000 0.3762 0.3001
Cd: 0.5000 0.2427 0.7835
Cd: 0.5000 0.5407 0.7573
Cd: 0.5000 0.2165 0.4593
Cd: 0.0000 0.0480 0.5269
Cd: 0.0000 0.4788 0.9520
Cd: 0.0000 0.4731 0.5212
Cd: 0.0000 0.7907 0.7170
Cd: 0.0000 0.9262 0.2093
Cd: 0.0000 0.2830 0.0738
Au: 0.0000 0.3333 0.6667
Au: 0.0000 0.0770 0.7988
Au: 0.0000 0.7217 0.9230
Au: 0.0000 0.2012 0.2783
Au: 0.5000 0.6416 0.5548
Au: 0.5000 0.9132 0.3584
Au: 0.5000 0.4452 0.0868

Properties
Total magnetization = 0.00 μB/f.u.
DOS(E_F) = 9.1 states/eV/cell
Energy of formation from the pure elements = -0.33 eV/atom
E = -2.13 eV per atom

---

(6)
Below is a relaxed structure of La5PrIn4, with properties calculated at the GGA-PBE level.

Cell: 9.0303 8.5263 9.3360 Å, 90.00 90.00 90.00°
Atoms (fractional coordinates):
La: 0.2671 0.7502 0.8058
La: 0.2671 0.2498 0.8058
La: 0.6518 0.5000 0.0000
La: 0.2671 0.7502 0.1942
La: 0.2671 0.2498 0.1942
La: 0.7329 0.7498 0.3058
La: 0.7329 0.2502 0.3058
La: 0.3482 0.0000 0.5000
La: 0.7329 0.2502 0.6942
La: 0.7329 0.7498 0.6942
Pr: 0.9179 0.0000 0.0000
Pr: 0.0821 0.5000 0.5000
In: 0.0138 0.0000 0.6575
In: 0.5616 0.8408 0.0000
In: 0.5616 0.1592 0.0000
In: 0.0138 0.0000 0.3425
In: 0.9862 0.5000 0.1575
In: 0.4384 0.6592 0.5000
In: 0.4384 0.3408 0.5000
In: 0.9862 0.5000 0.8425

Properties
Energy relative to the lowest polymorph listed for this composition = 0.238 eV/atom
Total magnetization = 0.00 μB/f.u.
DOS(E_F) = 21.3 states/eV/cell
Energy of formation from the pure elements = -0.16 eV/atom
E = -4.20 eV per atom

---

(7)
Below is a relaxed structure of CuNi2Mo, with properties calculated at the GGA-PBE level.

Cell: 2.6411 2.6411 8.4892 Å, 81.05 81.05 60.00°
Atoms (fractional coordinates):
Cu: 0.5000 0.5000 0.5001
Ni: 0.0856 0.0856 0.7434
Ni: 0.2480 0.2480 0.2560
Mo: 0.6665 0.6665 0.0006

Properties
Energy relative to the lowest polymorph listed for this composition = 0.116 eV/atom
Total magnetization = 0.00 μB/f.u.
DOS(E_F) = 4.3 states/eV/cell
Energy of formation from the pure elements = 0.11 eV/atom
E = -6.51 eV per atom

---

(8)
Below is a relaxed structure of MgSc2Ga2Pd5, with properties calculated at the GGA-PBE level.

Cell: 3.7763 9.5064 9.5064 Å, 90.00 90.00 90.00°
Atoms (fractional coordinates):
Mg: 0.0000 0.0000 0.0000
Mg: 0.0000 0.5000 0.5000
Sc: 0.0000 0.6720 0.1720
Sc: 0.0000 0.3280 0.8280
Sc: 0.0000 0.1720 0.3280
Sc: 0.0000 0.8280 0.6720
Ga: 0.0000 0.1269 0.6269
Ga: 0.0000 0.8731 0.3731
Ga: 0.0000 0.6269 0.8731
Ga: 0.0000 0.3731 0.1269
Pd: 0.5000 0.2051 0.0693
Pd: 0.5000 0.7949 0.9307
Pd: 0.5000 0.0693 0.7949
Pd: 0.5000 0.7051 0.4307
Pd: 0.5000 0.9307 0.2051
Pd: 0.5000 0.2949 0.5693
Pd: 0.5000 0.5693 0.7051
Pd: 0.5000 0.4307 0.2949
Pd: 0.5000 0.5000 0.0000
Pd: 0.5000 0.0000 0.5000

Properties
Total magnetization = 0.00 μB/f.u.
DOS(E_F) = 12.7 states/eV/cell
Energy of formation from the pure elements = -0.72 eV/atom
E = -5.34 eV per atom